No. 1
# ReSn2H, optimized geometry, DFT GGA-PBE
# - Energy relative to the lowest polymorph listed for this composition: 0 meV/atom
# - Final energy: -0.185 Ha/atom
# - Mass density: 10.265 g/cm3
data_ReSn2H
_chemical_formula_sum 'Re4 Sn8 H4'
_cell_length_a 6.5010
_cell_length_b 6.5010
_cell_length_c 6.5010
_cell_angle_alpha 90.00
_cell_angle_beta 90.00
_cell_angle_gamma 90.00
_symmetry_space_group_name_H-M 'F m -3 m'
_symmetry_Int_Tables_number 225
_symmetry_space_group_name_Hall '-F 4 2 3'
loop_
_atom_site_label
_atom_site_fract_x
_atom_site_fract_y
_atom_site_fract_z
Re1 0.0000 0.0000 0.0000
Sn1 0.2500 0.2500 0.2500
H1 0.0000 0.0000 0.5000


No. 2
# Ca2ZnIr, optimized geometry, DFT GGA-PBE
# - Formation energy from the elements: -0.2129 eV/atom
# - Final energy: -0.138 Ha/atom
# - Mass density: 6.278 g/cm3
data_Ca2ZnIr
_chemical_formula_sum 'Ca2 Zn1 Ir1'
_cell_length_a 3.3796
_cell_length_b 3.6468
_cell_length_c 7.2493
_cell_angle_alpha 90.00
_cell_angle_beta 90.00
_cell_angle_gamma 90.00
_symmetry_space_group_name_H-M 'P m m m'
_symmetry_Int_Tables_number 47
loop_
_symmetry_equiv_pos_as_xyz
'x,y,z'
'-x,-y,-z'
'-x,-y,z'
'x,y,-z'
'x,-y,-z'
'-x,y,z'
'-x,y,-z'
'x,-y,z'
loop_
_atom_site_label
_atom_site_fract_x
_atom_site_fract_y
_atom_site_fract_z
Ca1 0.0000 0.0000 0.2234
Zn1 0.5000 0.5000 0.5000
Ir1 0.5000 0.5000 0.0000


No. 3
# HgIrW2, optimized geometry, DFT GGA-PBE
# - Formation energy from the elements: 0.9448 eV/atom
# - Final energy: -0.287 Ha/atom
# - Mass density: 16.942 g/cm3
data_HgIrW2
_chemical_formula_sum 'Hg4 Ir4 W8'
_cell_length_a 7.4473
_cell_length_b 7.4473
_cell_length_c 5.3759
_cell_angle_alpha 90.00
_cell_angle_beta 90.00
_cell_angle_gamma 90.00
_symmetry_space_group_name_H-M 'I -4 2 d'
_symmetry_Int_Tables_number 122
_symmetry_space_group_name_Hall 'I -4 2bw'
loop_
_atom_site_label
_atom_site_fract_x
_atom_site_fract_y
_atom_site_fract_z
Hg1 0.0000 0.0000 0.0000
Ir1 0.0000 0.0000 0.5000
W1 0.2100 0.2500 0.6250


No. 4
# CePm4Dy2, optimized geometry, DFT GGA-PBE
# - Formation energy from the elements: 0.0420 eV/atom
# - Final energy: -0.178 Ha/atom
# - Mass density: 7.490 g/cm3
data_CePm4Dy2
_chemical_formula_sum 'Ce2 Pm8 Dy4'
_cell_length_a 6.2560
_cell_length_b 3.6130
_cell_length_c 20.5013
_cell_angle_alpha 90.00
_cell_angle_beta 90.04
_cell_angle_gamma 90.00
_symmetry_space_group_name_H-M 'C 1 m 1'
_symmetry_Int_Tables_number 8
loop_
_symmetry_equiv_pos_as_xyz
'x,y,z'
'x,-y,z'
'x+1/2,y+1/2,z'
'x+1/2,-y+1/2,z'
loop_
_atom_site_label
_atom_site_fract_x
_atom_site_fract_y
_atom_site_fract_z
Ce1 0.0000 0.0000 0.0000
Pm1 0.1661 0.5000 0.4273
Pm2 0.1675 0.5000 0.7104
Pm3 0.3323 0.0000 0.1422
Pm4 0.3340 0.0000 0.8564
Dy1 0.0004 0.0000 0.5697
Dy2 0.4988 0.5000 0.2852


No. 5
# Ca2MgAs2, optimized geometry, DFT GGA-PBE
# - Formation energy from the elements: -0.5815 eV/atom
# - Final energy: -0.131 Ha/atom
# - Mass density: 3.402 g/cm3
data_Ca2MgAs2
_chemical_formula_sum 'Ca4 Mg2 As4'
_cell_length_a 8.3502
_cell_length_b 8.3502
_cell_length_c 3.5607
_cell_angle_alpha 90.00
_cell_angle_beta 90.00
_cell_angle_gamma 90.00
_symmetry_space_group_name_H-M 'P 4/m b m'
_symmetry_Int_Tables_number 127
_symmetry_space_group_name_Hall '-P 4 2ab'
loop_
_atom_site_label
_atom_site_fract_x
_atom_site_fract_y
_atom_site_fract_z
Ca1 0.1324 0.3676 0.0000
Mg1 0.0000 0.0000 0.0000
As1 0.1732 0.6732 0.5000


No. 6
# Li2AlCoH, optimized geometry, DFT GGA-PBE
# - Final energy: -0.137 Ha/atom
# - Mass density: 3.250 g/cm3
data_Li2AlCoH
_chemical_formula_sum 'Li2 Al1 Co1 H1'
_cell_length_a 3.6185
_cell_length_b 3.6185
_cell_length_c 3.9337
_cell_angle_alpha 90.00
_cell_angle_beta 90.00
_cell_angle_gamma 90.00
_symmetry_space_group_name_H-M 'P 4/m m m'
_symmetry_Int_Tables_number 123
_symmetry_space_group_name_Hall '-P 4 2'
loop_
_atom_site_label
_atom_site_fract_x
_atom_site_fract_y
_atom_site_fract_z
Li1 0.0000 0.5000 0.0000
Al1 0.0000 0.0000 0.5000
Co1 0.5000 0.5000 0.5000
H1 0.5000 0.5000 0.0000


No. 7
# ThS6F2, optimized geometry, DFT GGA-PBE
# - Final energy: -0.192 Ha/atom
# - Raw formation energy: -1072.1 kJ/mol of formula units
# - Mass density: 3.302 g/cm3
data_ThS6F2
_chemical_formula_sum 'Th1 S6 F2'
_cell_length_a 3.9608
_cell_length_b 7.6115
_cell_length_c 8.5594
_cell_angle_alpha 69.15
_cell_angle_beta 78.91
_cell_angle_gamma 76.24
_symmetry_space_group_name_H-M 'P -1'
_symmetry_Int_Tables_number 2
loop_
_symmetry_equiv_pos_as_xyz
'x,y,z'
'-x,-y,-z'
loop_
_atom_site_label
_atom_site_fract_x
_atom_site_fract_y
_atom_site_fract_z
Th1 0.0000 0.0000 0.0000
S1 0.0740 0.3925 0.8257
S2 0.1855 0.9843 0.5665
S3 0.2084 0.6895 0.2955
F1 0.4470 0.0840 0.1157


No. 8
# YGaSi2, optimized geometry, DFT GGA-PBE
# - Final energy: -0.198 Ha/atom
# - Raw formation energy: -117.1 kJ/mol of formula units
# - Mass density: 4.820 g/cm3
data_YGaSi2
_chemical_formula_sum 'Y1 Ga1 Si2'
_cell_length_a 4.2229
_cell_length_b 4.2229
_cell_length_c 4.1498
_cell_angle_alpha 90.00
_cell_angle_beta 90.00
_cell_angle_gamma 90.00
_symmetry_space_group_name_H-M 'P 4/m m m'
_symmetry_Int_Tables_number 123
_symmetry_space_group_name_Hall '-P 4 2'
loop_
_atom_site_label
_atom_site_fract_x
_atom_site_fract_y
_atom_site_fract_z
Y1 0.0000 0.0000 0.0000
Ga1 0.5000 0.5000 0.0000
Si1 0.0000 0.5000 0.5000


Question: Look up the mass density of the sixth one.
Answer: 3.250 g/cm3


Question: Which of these has the lowest mass density?
Answer: Li2AlCoH